1.
{
  "formula": "HfSc2SbN",
  "functional": "PBE-GGA",
  "state": "relaxed",
  "lattice": [[-3.5354, -2.8661, -0.1171], [2.6721, -3.3582, 1.5196], [-0.9910, 1.0559, 4.0760]],
  "species": ["Hf", "Sb", "N", "Sc", "Sc"],
  "frac_coords": [[0.0000, 0.0000, 0.5000], [0.5000, 0.5000, 0.5000], [0.0000, 0.0000, 0.0000], [0.0000, 0.5000, 0.0000], [0.5000, 0.0000, 0.0000]],
  "space_group": "P4/mmm"
}


2.
{
  "formula": "Pr4Zn2N",
  "functional": "PBE-GGA",
  "state": "relaxed",
  "lattice": [[3.6534, 0.0000, 1.1060], [1.5126, 6.3185, 1.5905], [-0.3177, 0.3318, 7.6368]],
  "species": ["Zn", "N", "Zn", "Pr", "Pr", "Pr", "Pr"],
  "frac_coords": [[0.6184, 0.4245, 0.3387], [0.0000, 0.0000, 0.0000], [0.3816, 0.5755, 0.6613], [0.0832, 0.1738, 0.6598], [0.6524, 0.7608, 0.9344], [0.3476, 0.2392, 0.0656], [0.9168, 0.8262, 0.3402]],
  "e_above_lowest_polymorph_mev_per_atom": 0,
  "space_group": "C2/m"
}


3.
{
  "formula": "LiBiSb",
  "functional": "PBE-GGA",
  "state": "relaxed",
  "lattice": [[4.4680, 0.0000, 0.0000], [-2.2340, 4.6680, -0.5775], [0.0000, -3.2334, 8.6535]],
  "species": ["Sb", "Li", "Bi", "Bi", "Sb", "Li"],
  "frac_coords": [[0.2933, 0.5865, 0.1504], [0.9994, 0.9987, 0.8336], [0.1860, 0.3720, 0.6129], [0.8140, 0.6280, 0.3871], [0.7067, 0.4135, 0.8496], [0.0006, 0.0013, 0.1664]],
  "e_above_lowest_polymorph_mev_per_atom": 0,
  "space_group": "C2/m"
}


4.
{
  "formula": "LiLa2IrAu",
  "functional": "PBE-GGA",
  "state": "relaxed",
  "lattice": [[5.4890, 0.0000, 0.0000], [0.0000, 5.4890, 0.0000], [0.0000, 0.0000, 4.7254]],
  "species": ["La", "La", "Li", "Ir", "Au"],
  "frac_coords": [[0.5000, 0.0000, 0.0000], [0.0000, 0.5000, 0.0000], [0.0000, 0.0000, 0.5000], [0.0000, 0.0000, 0.0000], [0.5000, 0.5000, 0.5000]],
  "delta_e_f_kj_per_mol_fu": -203,
  "e_above_lowest_polymorph_mev_per_atom": 245,
  "space_group": "P4/mmm"
}


5.
{
  "formula": "CoPb",
  "functional": "PBE-GGA",
  "state": "relaxed",
  "lattice": [[-1.7251, -1.9248, 2.2271], [2.4868, -1.3831, -1.8825], [2.4738, 0.8455, 2.6469]],
  "species": ["Pb", "Co"],
  "frac_coords": [[0.6667, 0.3333, 0.5000], [0.0000, 0.0000, 0.0000]],
  "delta_e_f_kj_per_mol_fu": 116,
  "space_group": "P-6m2"
}


6.
{
  "formula": "NdZnGaAu2",
  "functional": "PBE-GGA",
  "state": "relaxed",
  "lattice": [[-1.8129, -0.1833, -3.7141], [-3.0433, -2.3013, 1.5991], [-0.7382, 6.3290, 2.3520]],
  "species": ["Ga", "Zn", "Au", "Au", "Nd"],
  "frac_coords": [[0.2500, 0.7500, 0.5000], [0.7500, 0.2500, 0.5000], [0.6130, 0.6130, 0.2259], [0.3870, 0.3870, 0.7741], [0.0000, 0.0000, 0.0000]],
  "delta_e_f_kj_per_mol_fu": -275,
  "space_group": "I-4m2"
}


7.
{
  "formula": "Tb8Mg2Sc",
  "functional": "PBE-GGA",
  "state": "relaxed",
  "lattice": [[5.1766, 0.0000, -1.4881], [-0.9876, 7.7054, -3.4355], [-0.3366, -0.5362, 8.5769]],
  "species": ["Tb", "Tb", "Tb", "Mg", "Tb", "Tb", "Mg", "Tb", "Tb", "Sc", "Tb"],
  "frac_coords": [[0.4054, 0.5426, 0.8108], [0.0622, 0.7285, 0.1244], [0.5946, 0.4574, 0.1892], [0.7701, 0.3773, 0.5402], [0.8640, 0.8150, 0.7279], [0.1360, 0.1850, 0.2721], [0.2299, 0.6227, 0.4598], [0.6849, 0.9503, 0.3699], [0.9378, 0.2715, 0.8756], [0.5000, 0.0000, 0.0000], [0.3151, 0.0497, 0.6301]],
  "delta_e_f_kj_per_mol_fu": 13,
  "e_above_lowest_polymorph_mev_per_atom": 0,
  "space_group": "C2/m"
}


8.
{
  "formula": "K2LiU2Te6",
  "functional": "PBE-GGA",
  "state": "relaxed",
  "lattice": [[7.6654, -0.0301, 0.0913], [-3.8149, 6.6488, 0.0913], [-1.3457, -2.3130, 8.2622]],
  "species": ["Te", "Te", "Te", "K", "Li", "K", "Te", "U", "U", "Te", "Te"],
  "frac_coords": [[0.5929, 0.9337, 0.2991], [0.2827, 0.2827, 0.2962], [0.7173, 0.7173, 0.7038], [0.1633, 0.8367, 0.0000], [0.0000, 0.0000, 0.5000], [0.8367, 0.1633, 0.0000], [0.0663, 0.4071, 0.7009], [0.6668, 0.3332, 0.5000], [0.3332, 0.6668, 0.5000], [0.9337, 0.5929, 0.2991], [0.4071, 0.0663, 0.7009]],
  "space_group": "C2/m"
}


Looking at energy for the records above, in order, we have -39.95; -33.57; -10.57; -26.01; -9.62; -18.47; -46.43; -54.60 eV/f.u..